No. 1
First-principles (PBE with a Hubbard U) data for crystalline LiCrP2O7 at its relaxed geometry, as listed in Alexandria.

Cell and atoms, written as CIF:
```
data_LiCrP2O7
_cell_length_a 6.488
_cell_length_b 8.322
_cell_length_c 9.014
_cell_angle_alpha 90.00
_cell_angle_beta 102.49
_cell_angle_gamma 90.00
_space_group_name_H-M_alt 'C 1 c 1'
_space_group_IT_number 9
loop_
_space_group_symop_operation_xyz
'x,y,z'
'x,-y,z+1/2'
'x+1/2,y+1/2,z'
'x+1/2,-y+1/2,z+1/2'
loop_
_atom_site_label
_atom_site_fract_x
_atom_site_fract_y
_atom_site_fract_z
Li1 0.000 0.198 0.000
Cr1 0.004 0.176 0.498
P1 0.224 0.493 0.701
P2 0.284 0.005 0.795
O1 0.002 0.495 0.747
O2 0.124 0.003 0.642
O3 0.220 0.338 0.609
O4 0.245 0.355 0.108
O5 0.259 0.146 0.389
O6 0.293 0.161 0.887
O7 0.381 0.497 0.856
```

Values from the calculation:
- Final energy: -315.60 eV/cell
- N(E_F): 0.000 states/eV per atom
- Mass density: 3.26 Mg/m³

***

No. 2
First-principles (PBE with a Hubbard U) data for crystalline LiCr2P2O8 at its relaxed geometry, as listed in Alexandria.

Cell and atoms, written as CIF:
```
data_LiCr2P2O8
_cell_length_a 5.647
_cell_length_b 6.377
_cell_length_c 9.379
_cell_angle_alpha 74.54
_cell_angle_beta 81.08
_cell_angle_gamma 80.51
_space_group_name_H-M_alt 'P -1'
_space_group_IT_number 2
loop_
_space_group_symop_operation_xyz
'x,y,z'
'-x,-y,-z'
loop_
_atom_site_label
_atom_site_fract_x
_atom_site_fract_y
_atom_site_fract_z
Li1 0.087 0.404 0.345
Cr1 0.144 0.052 0.711
Cr2 0.314 0.165 0.079
P1 0.190 0.715 0.043
P2 0.295 0.851 0.410
O1 0.062 0.201 0.882
O2 0.101 0.695 0.415
O3 0.173 0.069 0.302
O4 0.195 0.766 0.872
O5 0.243 0.469 0.115
O6 0.290 0.882 0.566
O7 0.383 0.836 0.078
O8 0.445 0.216 0.653
```

Values from the calculation:
- Final energy: -189.45 eV/cell
- Mass density: 3.13 Mg/m³

***

No. 3
First-principles (PBE with a Hubbard U) data for crystalline LiCr2P2O8 at its relaxed geometry, as listed in Alexandria.

Cell and atoms, written as CIF:
```
data_LiCr2P2O8
_cell_length_a 4.949
_cell_length_b 8.315
_cell_length_c 9.927
_cell_angle_alpha 90.00
_cell_angle_beta 115.80
_cell_angle_gamma 90.00
_space_group_name_H-M_alt 'P 1 c 1'
_space_group_IT_number 7
loop_
_space_group_symop_operation_xyz
'x,y,z'
'x,-y,z+1/2'
loop_
_atom_site_label
_atom_site_fract_x
_atom_site_fract_y
_atom_site_fract_z
Li1 0.000 0.162 0.000
Cr1 0.202 0.433 0.649
Cr2 0.604 0.106 0.606
P1 0.350 0.078 0.797
P2 0.621 0.459 0.470
O1 0.062 0.101 0.814
O2 0.326 0.039 0.169
O3 0.339 0.476 0.497
O4 0.449 0.240 0.741
O5 0.515 0.438 0.301
O6 0.620 0.039 0.947
O7 0.811 0.306 0.552
O8 0.864 0.407 0.045
```

Values from the calculation:
- Final energy: -189.20 eV/cell
- Mass density: 2.72 Mg/m³

***

No. 4
First-principles (PBE with a Hubbard U) data for crystalline LiCrP4O12 at its relaxed geometry, as listed in Alexandria.

Cell and atoms, written as CIF:
```
data_LiCrP4O12
_cell_length_a 14.326
_cell_length_b 7.910
_cell_length_c 9.825
_cell_angle_alpha 90.00
_cell_angle_beta 113.12
_cell_angle_gamma 90.00
_space_group_name_H-M_alt 'C 1 2/c 1'
_space_group_IT_number 15
loop_
_space_group_symop_operation_xyz
'x,y,z'
'-x,-y,-z'
'-x,y,-z+1/2'
'x,-y,z+1/2'
'x+1/2,y+1/2,z'
'-x+1/2,-y+1/2,-z'
'-x+1/2,y+1/2,-z+1/2'
'x+1/2,-y+1/2,z+1/2'
loop_
_atom_site_label
_atom_site_fract_x
_atom_site_fract_y
_atom_site_fract_z
Li1 0.000 0.000 0.000
Cr1 0.000 0.389 0.250
P1 0.150 0.453 0.600
P2 0.160 0.179 0.153
O1 0.062 0.203 0.177
O2 0.076 0.442 0.675
O3 0.116 0.388 0.445
O4 0.149 0.043 0.044
O5 0.192 0.358 0.106
O6 0.249 0.347 0.689
```

Values from the calculation:
- Final energy: -515.36 eV/cell
- N(E_F): 0.000 states/eV per atom
- Mass density: 2.43 Mg/m³